Here is a geometry-optimized NiHgAs structure from Alexandria. Energies are from GGA-PBE. Values from VASP.

Calculated values
Space group: I4mm (107)
Calculated formation energy in eV/atom: 0.055
Density in g/cm3: 10.0
E above lowest polymorph in kcal/mol of atoms: 0.63

The structure in Quantum ESPRESSO input format:
```
&SYSTEM
  ibrav = 0, nat = 3, ntyp = 3
/
ATOMIC_SPECIES
Ni 58.69 Ni.upf
Hg 200.59 Hg.upf
As 74.92 As.upf
CELL_PARAMETERS angstrom
-1.476 1.476 6.372
1.476 -1.476 6.372
1.476 1.476 -6.372
ATOMIC_POSITIONS angstrom
Ni 0.000 0.000 0.000
Hg 0.000 0.000 8.444
As 0.000 0.000 5.090
```


Here is a geometry-optimized Sm4Ho3Tl2 structure from Alexandria. Energies are from GGA-PBE. Values from VASP.

Calculated values
Space group: C2/c (15)
Calculated formation energy in eV/atom: -0.094
Density in g/cm3: 8.9

The structure in Quantum ESPRESSO input format:
```
&SYSTEM
  ibrav = 0, nat = 18, ntyp = 3
/
ATOMIC_SPECIES
Sm 150.36 Sm.upf
Ho 164.93 Ho.upf
Tl 204.38 Tl.upf
CELL_PARAMETERS angstrom
7.257 -6.176 0.000
7.257 6.176 0.000
-1.986 0.000 6.288
ATOMIC_POSITIONS angstrom
Sm 3.830 2.156 2.223
Sm 4.365 3.317 6.146
Sm 7.170 3.317 3.286
Sm 2.837 -2.156 5.368
Sm 9.690 2.156 0.921
Sm 5.358 -3.317 3.002
Sm 8.162 -3.317 0.142
Sm 8.698 -2.156 4.065
Ho 0.700 0.555 2.897
Ho -0.293 -0.555 6.041
Ho 6.760 0.085 1.572
Ho 5.767 -0.085 4.716
Ho 12.820 0.555 0.247
Ho 11.827 -0.555 3.391
Tl 2.411 1.027 5.427
Tl 3.403 -1.027 2.283
Tl 9.124 1.027 4.005
Tl 10.117 -1.027 0.861
```


Here is a geometry-optimized Tb4Dy4Y structure from Alexandria. Energies are from GGA-PBE. Values from VASP.

Calculated values
Space group: I4/mmm (139)
Calculated formation energy in eV/atom: 0.018
Density in g/cm3: 8.0

The structure in Quantum ESPRESSO input format:
```
&SYSTEM
  ibrav = 0, nat = 9, ntyp = 3
/
ATOMIC_SPECIES
Tb 158.93 Tb.upf
Dy 162.50 Dy.upf
Y 88.91 Y.upf
CELL_PARAMETERS angstrom
-5.335 5.335 2.509
5.335 -5.335 2.509
5.335 5.335 -2.509
ATOMIC_POSITIONS angstrom
Tb 1.785 1.785 0.000
Tb 3.551 -3.551 2.509
Tb -3.551 3.551 2.509
Tb 3.551 3.551 2.509
Dy 5.335 1.773 0.000
Dy 1.773 5.335 0.000
Dy 3.563 0.000 2.509
Dy 0.000 3.563 2.509
Y 0.000 0.000 2.509
```


Here is a geometry-optimized B5C7 structure from Alexandria. Energies are from GGA-PBE. Values from VASP.

Calculated values
Space group: P3m1 (156)
Calculated formation energy in eV/atom: 0.372
Density in g/cm3: 2.9
E above lowest polymorph in kcal/mol of atoms: 2.63

The structure in Quantum ESPRESSO input format:
```
&SYSTEM
  ibrav = 0, nat = 12, ntyp = 2
/
ATOMIC_SPECIES
B 10.81 B.upf
C 12.01 C.upf
CELL_PARAMETERS angstrom
2.538 0.000 0.000
-1.269 2.198 0.000
0.000 0.000 13.957
ATOMIC_POSITIONS angstrom
B 0.000 0.000 0.000
B 0.000 0.000 1.693
B 0.000 0.000 8.091
B 0.000 1.465 9.143
B 1.269 0.733 12.838
C 0.000 0.000 6.511
C 0.000 1.465 2.411
C 0.000 1.465 3.909
C 0.000 1.465 10.725
C 1.269 0.733 4.445
C 1.269 0.733 5.986
C 1.269 0.733 11.257
```


Here is a geometry-optimized SrZr2Ru structure from Alexandria. Energies are from GGA-PBE. Values from VASP.

Calculated values
Space group: Imm2 (44)
Calculated formation energy in eV/atom: 0.173
Density in g/cm3: 6.4
E above lowest polymorph in kcal/mol of atoms: 2.72

The structure in Quantum ESPRESSO input format:
```
&SYSTEM
  ibrav = 0, nat = 4, ntyp = 3
/
ATOMIC_SPECIES
Sr 87.62 Sr.upf
Zr 91.22 Zr.upf
Ru 101.07 Ru.upf
CELL_PARAMETERS angstrom
-1.743 2.507 5.540
1.743 -2.507 5.540
1.743 2.507 -5.540
ATOMIC_POSITIONS angstrom
Sr 0.000 0.000 0.000
Zr 1.743 0.000 3.198
Zr 0.000 0.000 6.666
Ru 0.000 2.507 2.981
```


Here is a geometry-optimized GdHoIrPb structure from Alexandria. Energies are from GGA-PBE. Values from VASP.

Calculated values
Space group: F-43m (216)
Calculated formation energy in eV/atom: -0.472
Density in g/cm3: 12.4

The structure in Quantum ESPRESSO input format:
```
&SYSTEM
  ibrav = 0, nat = 4, ntyp = 4
/
ATOMIC_SPECIES
Gd 157.25 Gd.upf
Ho 164.93 Ho.upf
Ir 192.22 Ir.upf
Pb 207.20 Pb.upf
CELL_PARAMETERS angstrom
0.000 3.640 3.640
3.640 0.000 3.640
3.640 3.640 0.000
ATOMIC_POSITIONS angstrom
Gd 0.000 0.000 0.000
Ho 3.640 3.640 3.640
Ir 5.461 5.461 5.461
Pb 1.820 1.820 1.820
```


Here is a geometry-optimized LaLuMg4 structure from Alexandria. Energies are from GGA-PBE. Values from VASP.

Calculated values
Space group: F-43m (216)
Calculated formation energy in eV/atom: -0.076
Density in g/cm3: 4.3

The structure in Quantum ESPRESSO input format:
```
&SYSTEM
  ibrav = 0, nat = 6, ntyp = 3
/
ATOMIC_SPECIES
La 138.91 La.upf
Lu 174.97 Lu.upf
Mg 24.30 Mg.upf
CELL_PARAMETERS angstrom
0.000 4.304 4.304
4.304 0.000 4.304
4.304 4.304 0.000
ATOMIC_POSITIONS angstrom
La 0.000 0.000 0.000
Lu 6.457 6.457 6.457
Mg 3.232 3.232 3.232
Mg 5.377 5.377 3.232
Mg 5.377 3.232 5.377
Mg 3.232 5.377 5.377
```


Here is a geometry-optimized Na3YTm2S6 structure from Alexandria. Energies are from GGA-PBE. Values from VASP.

Calculated values
Space group: C2/m (12)
Density in g/cm3: 4.2

The structure in Quantum ESPRESSO input format:
```
&SYSTEM
  ibrav = 0, nat = 12, ntyp = 4
/
ATOMIC_SPECIES
Na 22.99 Na.upf
Y 88.91 Y.upf
Tm 168.93 Tm.upf
S 32.06 S.upf
CELL_PARAMETERS angstrom
3.420 -5.925 0.000
3.420 5.925 0.000
-2.281 0.000 6.679
ATOMIC_POSITIONS angstrom
Na 0.000 0.000 0.000
Na 3.420 1.970 0.000
Na 3.420 -1.970 0.000
Y 2.280 0.000 3.340
Tm 2.280 3.949 3.340
Tm 2.280 -3.949 3.340
S 1.127 1.996 1.838
S -0.025 0.000 4.843
S 1.127 -1.996 1.838
S 3.433 1.996 4.841
S 4.586 0.000 1.836
S 3.433 -1.996 4.841
```


Here is a geometry-optimized Rb structure from Alexandria. Energies are from GGA-PBE. Values from VASP.

Calculated values
Space group: P6/mmm (191)
Calculated formation energy in eV/atom: 0.014
Density in g/cm3: 1.6
E above lowest polymorph in kcal/mol of atoms: 0.33

The structure in Quantum ESPRESSO input format:
```
&SYSTEM
  ibrav = 0, nat = 3, ntyp = 1
/
ATOMIC_SPECIES
Rb 85.47 Rb.upf
CELL_PARAMETERS angstrom
8.041 0.000 0.000
-4.021 6.964 0.000
0.000 0.000 4.796
ATOMIC_POSITIONS angstrom
Rb 0.000 0.000 0.000
Rb 0.000 4.643 2.398
Rb 4.021 2.321 2.398
```


no.,energy (eV/atom),magnetization (μB per formula unit)
1,-3.522,0.00
2,-4.243,0.00
3,-4.804,0.00
4,-7.791,0.00
5,-6.840,0.00
6,-8.279,7.08
7,-2.714,0.00
8,-5.532,0.00
9,-0.953,0.00